The following is a DFT calculation (PBE) of crystalline CaSnSeN2 at its relaxed geometry.

Lattice parameters (Å, degrees): 4.556 4.556 5.737 90.00 90.00 90.00
Atoms (fractional coordinates):
Ca 0.000 0.000 0.000
Sn 0.500 0.500 0.500
Se 0.000 0.000 0.500
N 0.000 0.500 0.000
N 0.500 0.000 0.000

- volume (A^3/atom) = 23.82
- formation energy (no corrections) (eV/atom) = 0.988
- magnetic moment (μB/f.u.) = 4.0
- symmetry = P4/mmm, No. 123
- N(E_F) (states/eV/cell) = 1.8
- E above lowest polymorph (meV/atom) = 659
- crystal system = tetragonal

***

The following is a DFT calculation (PBE) of crystalline SrVSb at its relaxed geometry.

Lattice parameters (Å, degrees): 4.075 4.075 10.252 90.00 90.00 90.00
Atoms (fractional coordinates):
Sr 0.250 0.250 0.175
Sr 0.750 0.750 0.825
V 0.250 0.750 0.500
V 0.750 0.250 0.500
Sb 0.250 0.250 0.676
Sb 0.750 0.750 0.324

- volume (A^3/atom) = 28.38
- formation energy (no corrections) (eV/atom) = -0.333
- magnetic moment (μB/f.u.) = 0.0
- symmetry = P4/nmm, No. 129
- N(E_F) (states/eV/cell) = 4.8
- crystal system = tetragonal

***

The following is a DFT calculation (PBE) of crystalline PrYMgSc at its relaxed geometry.

Lattice parameters (Å, degrees): 3.647 3.647 8.793 90.00 90.00 90.00
Atoms (fractional coordinates):
Pr 0.000 0.000 0.000
Y 0.000 0.000 0.502
Mg 0.500 0.500 0.743
Sc 0.500 0.500 0.257

- volume (A^3/atom) = 29.24
- ΔE_f (eV/atom) = -0.0088
- magnetic moment (μB/f.u.) = 0.7
- symmetry = P4mm, No. 99
- N(E_F) (states/eV/cell) = 6.0
- E above lowest polymorph (meV/atom) = 0
- crystal system = tetragonal

***

The following is a DFT calculation (PBE) of crystalline Rb2ZnPt at its relaxed geometry.

Lattice parameters (Å, degrees): 8.107 8.107 8.107 90.00 90.00 90.00
Atoms (fractional coordinates):
Rb 0.250 0.250 0.250
Rb 0.250 0.250 0.750
Rb 0.250 0.750 0.250
Rb 0.250 0.750 0.750
Rb 0.750 0.250 0.250
Rb 0.750 0.250 0.750
Rb 0.750 0.750 0.250
Rb 0.750 0.750 0.750
Zn 0.000 0.000 0.000
Zn 0.000 0.500 0.500
Zn 0.500 0.000 0.500
Zn 0.500 0.500 0.000
Pt 0.000 0.000 0.500
Pt 0.000 0.500 0.000
Pt 0.500 0.000 0.000
Pt 0.500 0.500 0.500

- volume (A^3/atom) = 33.30
- ΔE_f (eV/atom) = 0.2168
- magnetic moment (μB/f.u.) = 0.0
- symmetry = Fm-3m, No. 225
- N(E_F) (states/eV/cell) = 0.0
- E above lowest polymorph (meV/atom) = 0
- crystal system = cubic